1.
# ZnCd2Cu (PBE, optimized geometry)
# - Total magnetic moment: 0.000 μB per formula unit
# - DFT total energy: -1.549 eV/atom
# - Formation energy: 0.251 eV per atom
data_ZnCd2Cu
_symmetry_space_group_name_H-M 'P 1'
_symmetry_Int_Tables_number 1
_cell_length_a 8.651
_cell_length_b 8.651
_cell_length_c 6.582
_cell_angle_alpha 48.92
_cell_angle_beta 48.92
_cell_angle_gamma 90.00
loop_
_symmetry_equiv_pos_as_xyz
'x,y,z'
loop_
_atom_site_label
_atom_site_type_symbol
_atom_site_fract_x
_atom_site_fract_y
_atom_site_fract_z
Zn1 Zn 0.000 0.000 0.000
Zn2 Zn 0.750 0.250 0.500
Cu1 Cu 0.500 0.500 0.000
Cu2 Cu 0.250 0.750 0.500
Cd1 Cd 0.529 0.125 0.250
Cd2 Cd 0.221 0.625 0.250
Cd3 Cd 0.375 0.471 0.750
Cd4 Cd 0.875 0.779 0.750


2.
# VHRu3 (PBE, optimized geometry)
# - Polymorph energy (0 for the lowest one): 0 meV/atom
# - Total magnetic moment: 0.000 μB per formula unit
# - DFT total energy: -8.175 eV/atom
data_VHRu3
_symmetry_space_group_name_H-M 'P 1'
_symmetry_Int_Tables_number 1
_cell_length_a 4.763
_cell_length_b 5.158
_cell_length_c 5.158
_cell_angle_alpha 64.72
_cell_angle_beta 89.67
_cell_angle_gamma 89.67
loop_
_symmetry_equiv_pos_as_xyz
'x,y,z'
loop_
_atom_site_label
_atom_site_type_symbol
_atom_site_fract_x
_atom_site_fract_y
_atom_site_fract_z
V1 V 0.595 0.021 0.156
V2 V 0.922 0.280 0.414
H1 H 0.250 0.638 0.772
H2 H 0.250 0.905 0.040
Ru1 Ru 0.595 0.518 0.652
Ru2 Ru 0.904 0.773 0.907
Ru3 Ru 0.433 0.026 0.648
Ru4 Ru 0.433 0.514 0.160
Ru5 Ru 0.068 0.272 0.909
Ru6 Ru 0.068 0.774 0.406


3.
# CsRb2NaAg (PBE, optimized geometry)
# - Polymorph energy (0 for the lowest one): 18 meV/atom
# - Total magnetic moment: 0.000 μB per formula unit
# - DFT total energy: -1.307 eV/atom
# - Formation energy: 0.085 eV per atom
data_CsRb2NaAg
_symmetry_space_group_name_H-M 'P 1'
_symmetry_Int_Tables_number 1
_cell_length_a 6.995
_cell_length_b 6.995
_cell_length_c 7.251
_cell_angle_alpha 90.00
_cell_angle_beta 90.00
_cell_angle_gamma 90.00
loop_
_symmetry_equiv_pos_as_xyz
'x,y,z'
loop_
_atom_site_label
_atom_site_type_symbol
_atom_site_fract_x
_atom_site_fract_y
_atom_site_fract_z
Cs1 Cs 0.000 0.000 0.500
Na1 Na 0.500 0.500 0.500
Rb1 Rb 0.000 0.500 0.000
Rb2 Rb 0.500 0.000 0.000
Ag1 Ag 0.000 0.000 0.000


What did the second record say?
# VHRu3 (PBE, optimized geometry)
# - Polymorph energy (0 for the lowest one): 0 meV/atom
# - Total magnetic moment: 0.000 μB per formula unit
# - DFT total energy: -8.175 eV/atom
data_VHRu3
_symmetry_space_group_name_H-M 'P 1'
_symmetry_Int_Tables_number 1
_cell_length_a 4.763
_cell_length_b 5.158
_cell_length_c 5.158
_cell_angle_alpha 64.72
_cell_angle_beta 89.67
_cell_angle_gamma 89.67
loop_
_symmetry_equiv_pos_as_xyz
'x,y,z'
loop_
_atom_site_label
_atom_site_type_symbol
_atom_site_fract_x
_atom_site_fract_y
_atom_site_fract_z
V1 V 0.595 0.021 0.156
V2 V 0.922 0.280 0.414
H1 H 0.250 0.638 0.772
H2 H 0.250 0.905 0.040
Ru1 Ru 0.595 0.518 0.652
Ru2 Ru 0.904 0.773 0.907
Ru3 Ru 0.433 0.026 0.648
Ru4 Ru 0.433 0.514 0.160
Ru5 Ru 0.068 0.272 0.909
Ru6 Ru 0.068 0.774 0.406


> The highest DFT total energy belongs to which entry?

CsRb2NaAg


> Which of these has the highest DFT total energy?

CsRb2NaAg


> Look up the total magnetic moment of the first one.

0.000 μB per formula unit